# 1
The following is a DFT calculation (GGA-PBEsol) of crystalline Sc2RhAu at its relaxed geometry.

Structure (CIF):
```
data_Sc2RhAu
_space_group_name_H-M_alt 'F -4 3 m'
_space_group_IT_number 216
_space_group_name_Hall 'F -4 2 3'
_cell_length_a 6.463
_cell_length_b 6.463
_cell_length_c 6.463
_cell_angle_alpha 90.00
_cell_angle_beta 90.00
_cell_angle_gamma 90.00
loop_
_atom_site_label
_atom_site_type_symbol
_atom_site_fract_x
_atom_site_fract_y
_atom_site_fract_z
_atom_site_occupancy
Sc1 Sc 0.000 0.000 0.000 1
Sc2 Sc 0.250 0.250 0.250 1
Rh1 Rh 0.000 0.000 0.500 1
Au1 Au 0.250 0.250 0.750 1
```

Computed properties:
* ΔH_f (0 K): -2.2 eV per formula unit
* Fermi-level density of states: 16.78 states/eV per cell
* energy: -109.92 eV for the cell shown

***

# 2
The following is a DFT calculation (GGA-PBEsol) of crystalline Sc2RhAu at its relaxed geometry.

Structure (CIF):
```
data_Sc2RhAu
_space_group_name_H-M_alt 'R -3 m'
_space_group_IT_number 166
_space_group_name_Hall '-R 3 2"'
_cell_length_a 3.1002
_cell_length_b 3.1002
_cell_length_c 27.7713
_cell_angle_alpha 90.00
_cell_angle_beta 90.00
_cell_angle_gamma 120.00
loop_
_atom_site_label
_atom_site_type_symbol
_atom_site_fract_x
_atom_site_fract_y
_atom_site_fract_z
_atom_site_occupancy
Sc1 Sc 0.0000 0.0000 0.0976 1
Rh1 Rh 0.0000 0.0000 0.5000 1
Au1 Au 0.0000 0.0000 0.0000 1
```

Computed properties:
* ΔH_f (0 K): -0.7 eV per formula unit
* Fermi-level density of states: 7.76 states/eV per cell
* energy: -77.98 eV for the cell shown

***

# 3
The following is a DFT calculation (GGA-PBEsol) of crystalline ScRh2Au at its relaxed geometry.

Structure (CIF):
```
data_ScRh2Au
_space_group_name_H-M_alt 'R -3 m'
_space_group_IT_number 166
_space_group_name_Hall '-R 3 2"'
_cell_length_a 2.8983
_cell_length_b 2.8983
_cell_length_c 26.0280
_cell_angle_alpha 90.00
_cell_angle_beta 90.00
_cell_angle_gamma 120.00
loop_
_atom_site_label
_atom_site_type_symbol
_atom_site_fract_x
_atom_site_fract_y
_atom_site_fract_z
_atom_site_occupancy
Sc1 Sc 0.0000 0.0000 0.0000 1
Rh1 Rh 0.0000 0.0000 0.2549 1
Au1 Au 0.0000 0.0000 0.5000 1
```

Computed properties:
* ΔH_f (0 K): -0.8 eV per formula unit
* Fermi-level density of states: 7.76 states/eV per cell
* energy: -82.76 eV for the cell shown

***

# 4
The following is a DFT calculation (GGA-PBEsol) of crystalline RhAuSe at its relaxed geometry.

Structure (CIF):
```
data_RhAuSe
_space_group_name_H-M_alt 'P 3 m 1'
_space_group_IT_number 156
_cell_length_a 3.2928
_cell_length_b 3.2928
_cell_length_c 5.8120
_cell_angle_alpha 90.00
_cell_angle_beta 90.00
_cell_angle_gamma 120.00
loop_
_space_group_symop_operation_xyz
'x,y,z'
'-y,x-y,z'
'-x+y,-x,z'
'-y,-x,z'
'-x+y,y,z'
'x,x-y,z'
loop_
_atom_site_label
_atom_site_type_symbol
_atom_site_fract_x
_atom_site_fract_y
_atom_site_fract_z
_atom_site_occupancy
Rh1 Rh 0.0000 0.0000 0.0000 1
Au1 Au 0.3333 0.6667 0.3291 1
Se1 Se 0.6667 0.3333 0.7600 1
```

Computed properties:
* energy: -16.06 eV for the cell shown
* uncorrected formation energy: -0.1 eV per formula unit

***

# 5
The following is a DFT calculation (GGA-PBEsol) of crystalline Rh2AuSe at its relaxed geometry.

Structure (CIF):
```
data_Rh2AuSe
_space_group_name_H-M_alt 'P m m m'
_space_group_IT_number 47
_cell_length_a 2.833
_cell_length_b 4.543
_cell_length_c 4.800
_cell_angle_alpha 90.00
_cell_angle_beta 90.00
_cell_angle_gamma 90.00
loop_
_space_group_symop_operation_xyz
'x,y,z'
'-x,-y,-z'
'-x,-y,z'
'x,y,-z'
'x,-y,-z'
'-x,y,z'
'-x,y,-z'
'x,-y,z'
loop_
_atom_site_label
_atom_site_type_symbol
_atom_site_fract_x
_atom_site_fract_y
_atom_site_fract_z
_atom_site_occupancy
Rh1 Rh 0.000 0.000 0.000 1
Rh2 Rh 0.500 0.000 0.500 1
Au1 Au 0.000 0.500 0.500 1
Se1 Se 0.500 0.500 0.000 1
```

Computed properties:
* Fermi-level density of states: 3.61 states/eV per cell
* energy: -22.70 eV for the cell shown
* uncorrected formation energy: 1.4 eV per formula unit

***

# 6
The following is a DFT calculation (GGA-PBEsol) of crystalline Rh2AuSe at its relaxed geometry.

Structure (CIF):
```
data_Rh2AuSe
_space_group_name_H-M_alt 'I -4 m 2'
_space_group_IT_number 119
_space_group_name_Hall 'I -4 -2'
_cell_length_a 3.944
_cell_length_b 3.944
_cell_length_c 7.903
_cell_angle_alpha 90.00
_cell_angle_beta 90.00
_cell_angle_gamma 90.00
loop_
_atom_site_label
_atom_site_type_symbol
_atom_site_fract_x
_atom_site_fract_y
_atom_site_fract_z
_atom_site_occupancy
Rh1 Rh 0.000 0.000 0.000 1
Rh2 Rh 0.000 0.500 0.250 1
Au1 Au 0.000 0.500 0.750 1
Se1 Se 0.000 0.000 0.500 1
```

Computed properties:
* Fermi-level density of states: 13.43 states/eV per cell
* energy: -45.36 eV for the cell shown
* uncorrected formation energy: 1.4 eV per formula unit

***

# 7
The following is a DFT calculation (GGA-PBEsol) of crystalline RhAuSe2 at its relaxed geometry.

Structure (CIF):
```
data_RhAuSe2
_space_group_name_H-M_alt 'F -4 3 m'
_space_group_IT_number 216
_space_group_name_Hall 'F -4 2 3'
_cell_length_a 6.490
_cell_length_b 6.490
_cell_length_c 6.490
_cell_angle_alpha 90.00
_cell_angle_beta 90.00
_cell_angle_gamma 90.00
loop_
_atom_site_label
_atom_site_type_symbol
_atom_site_fract_x
_atom_site_fract_y
_atom_site_fract_z
_atom_site_occupancy
Rh1 Rh 0.000 0.000 0.000 1
Au1 Au 0.250 0.250 0.750 1
Se1 Se 0.000 0.000 0.500 1
Se2 Se 0.250 0.250 0.250 1
```

Computed properties:
* Fermi-level density of states: 15.50 states/eV per cell
* energy: -71.31 eV for the cell shown
* uncorrected formation energy: 1.9 eV per formula unit

***

# 8
The following is a DFT calculation (GGA-PBEsol) of crystalline RhAuSe3 at its relaxed geometry.

Structure (CIF):
```
data_RhAuSe3
_space_group_name_H-M_alt 'P m -3 m'
_space_group_IT_number 221
_space_group_name_Hall '-P 4 2 3'
_cell_length_a 4.930
_cell_length_b 4.930
_cell_length_c 4.930
_cell_angle_alpha 90.00
_cell_angle_beta 90.00
_cell_angle_gamma 90.00
loop_
_atom_site_label
_atom_site_type_symbol
_atom_site_fract_x
_atom_site_fract_y
_atom_site_fract_z
_atom_site_occupancy
Rh1 Rh 0.000 0.000 0.000 1
Au1 Au 0.500 0.500 0.500 1
Se1 Se 0.000 0.500 0.500 1
```

Computed properties:
* Fermi-level density of states: 8.28 states/eV per cell
* energy: -17.68 eV for the cell shown
* uncorrected formation energy: 5.9 eV per formula unit